(1)
Below is a relaxed HgTeI6 crystal, with properties calculated at the GGA-PBE level.

Lattice parameters (Å, degrees): 7.621 7.621 7.547 100.57 100.57 120.53
Fractional coordinates of all 8 atoms:
1 Hg 0.000 0.000 0.000
2 Te 0.500 0.500 0.500
3 I 0.089 0.409 0.248
4 I 0.264 0.264 0.734
5 I 0.409 0.089 0.248
6 I 0.591 0.911 0.752
7 I 0.736 0.736 0.266
8 I 0.911 0.591 0.752

Properties
Its space group is C2/m. For the magnetization, the calculation gives 0.000 μB per atom. The calculation puts the offset from the most stable computed form at 0 meV per atom. The value obtained for the electronic total energy is -1.69 eV per atom. Its energy relative to the elements, uncorrected is -8.9 kJ per mole of atoms.



(2)
Below is a relaxed TiHgTe2I crystal, with properties calculated at the GGA-PBE level.

Lattice parameters (Å, degrees): 5.333 5.333 5.771 90.00 90.00 90.00
Fractional coordinates of all 5 atoms:
1 Ti 0.000 0.000 0.000
2 Hg 0.500 0.500 0.500
3 Te 0.000 0.500 0.000
4 Te 0.500 0.000 0.000
5 I 0.000 0.000 0.500

Properties
Its space group is P4/mmm. For the magnetization, the calculation gives 0.000 μB per atom. The calculation puts the offset from the most stable computed form at 0 meV per atom. The value obtained for the electronic total energy is -3.39 eV per atom. Its energy relative to the elements, uncorrected is -17.9 kJ per mole of atoms.



(3)
Below is a relaxed TiHgTeI2 crystal, with properties calculated at the GGA-PBE level.

Lattice parameters (Å, degrees): 5.650 5.650 5.329 90.00 90.00 90.00
Fractional coordinates of all 5 atoms:
1 Ti 0.000 0.000 0.000
2 Hg 0.500 0.500 0.500
3 Te 0.000 0.000 0.500
4 I 0.000 0.500 0.000
5 I 0.500 0.000 0.000

Properties
Its space group is P4/mmm. For the magnetization, the calculation gives 0.001 μB per atom. The calculation puts the offset from the most stable computed form at 0 meV per atom. The value obtained for the electronic total energy is -3.16 eV per atom. Its energy relative to the elements, uncorrected is -26.4 kJ per mole of atoms.



(4)
Below is a relaxed TiHgTe2I crystal, with properties calculated at the GGA-PBE level.

Lattice parameters (Å, degrees): 5.631 5.631 5.767 90.00 90.00 90.00
Fractional coordinates of all 5 atoms:
1 Ti 0.000 0.000 0.000
2 Hg 0.500 0.500 0.500
3 Te 0.000 0.500 0.500
4 Te 0.500 0.000 0.500
5 I 0.500 0.500 0.000

Properties
Its space group is P4/mmm. For the magnetization, the calculation gives 0.356 μB per atom. The calculation puts the offset from the most stable computed form at 914 meV per atom. The value obtained for the electronic total energy is -2.48 eV per atom. Its energy relative to the elements, uncorrected is 70.3 kJ per mole of atoms.



(5)
Below is a relaxed TiHgTeI2 crystal, with properties calculated at the GGA-PBE level.

Lattice parameters (Å, degrees): 5.791 5.791 5.757 90.00 90.00 90.00
Fractional coordinates of all 5 atoms:
1 Ti 0.000 0.000 0.000
2 Hg 0.500 0.500 0.500
3 Te 0.500 0.500 0.000
4 I 0.000 0.500 0.500
5 I 0.500 0.000 0.500

Properties
Its space group is P4/mmm. For the magnetization, the calculation gives 0.403 μB per atom. The calculation puts the offset from the most stable computed form at 882 meV per atom. The value obtained for the electronic total energy is -2.28 eV per atom. Its energy relative to the elements, uncorrected is 58.7 kJ per mole of atoms.



(6)
Below is a relaxed TlHgTeI2 crystal, with properties calculated at the GGA-PBE level.

Lattice parameters (Å, degrees): 6.032 6.032 5.664 90.00 90.00 90.00
Fractional coordinates of all 5 atoms:
1 Tl 0.000 0.000 0.000
2 Hg 0.500 0.500 0.500
3 Te 0.500 0.500 0.000
4 I 0.000 0.500 0.500
5 I 0.500 0.000 0.500

Properties
Its space group is P4/mmm. For the magnetization, the calculation gives 0.000 μB per atom. The calculation puts the offset from the most stable computed form at 0 meV per atom. The value obtained for the electronic total energy is -1.83 eV per atom. Its energy relative to the elements, uncorrected is -4.5 kJ per mole of atoms.



(7)
Below is a relaxed Tl2HgTeI crystal, with properties calculated at the GGA-PBE level.

Lattice parameters (Å, degrees): 6.669 6.669 5.571 90.00 90.00 90.00
Fractional coordinates of all 5 atoms:
1 Tl 0.000 0.500 0.000
2 Tl 0.500 0.000 0.000
3 Hg 0.000 0.000 0.500
4 Te 0.000 0.000 0.000
5 I 0.500 0.500 0.500

Properties
Its space group is P4/mmm. For the magnetization, the calculation gives 0.000 μB per atom. The value obtained for the electronic total energy is -2.12 eV per atom. Its energy relative to the elements, uncorrected is -16.6 kJ per mole of atoms.



(8)
Below is a relaxed TlHgTeI crystal, with properties calculated at the GGA-PBE level.

Lattice parameters (Å, degrees): 8.886 8.886 8.886 30.71 30.71 30.71
Fractional coordinates of all 4 atoms:
1 Tl 0.000 0.000 0.000
2 Hg 0.469 0.469 0.469
3 Te 0.767 0.767 0.767
4 I 0.588 0.588 0.588

Properties
Its space group is R3m. For the magnetization, the calculation gives 0.000 μB per atom. The value obtained for the electronic total energy is -2.18 eV per atom. Its energy relative to the elements, uncorrected is -32.4 kJ per mole of atoms.



(9)
Below is a relaxed Tl6HgTe2I2 crystal, with properties calculated at the GGA-PBE level.

Lattice parameters (Å, degrees): 8.168 8.168 8.765 100.72 100.72 116.72
Fractional coordinates of all 11 atoms:
1 Tl 0.065 0.414 0.766
2 Tl 0.238 0.238 0.202
3 Tl 0.414 0.065 0.766
4 Tl 0.586 0.935 0.234
5 Tl 0.762 0.762 0.798
6 Tl 0.935 0.586 0.234
7 Hg 0.500 0.500 0.000
8 Te 0.176 0.824 0.000
9 Te 0.824 0.176 0.000
10 I 0.335 0.665 0.500
11 I 0.665 0.335 0.500

Properties
Its space group is C2/m. For the magnetization, the calculation gives 0.000 μB per atom. The value obtained for the electronic total energy is -2.52 eV per atom. Its energy relative to the elements, uncorrected is -33.3 kJ per mole of atoms.



(10)
Below is a relaxed Tl6HgTe2I3 crystal, with properties calculated at the GGA-PBE level.

Lattice parameters (Å, degrees): 8.454 8.454 8.546 99.55 99.55 120.43
Fractional coordinates of all 12 atoms:
1 Tl 0.055 0.421 0.764
2 Tl 0.213 0.213 0.234
3 Tl 0.421 0.055 0.764
4 Tl 0.579 0.945 0.236
5 Tl 0.787 0.787 0.766
6 Tl 0.945 0.579 0.236
7 Hg 0.500 0.500 0.000
8 Te 0.167 0.833 0.000
9 Te 0.833 0.167 0.000
10 I 0.000 0.000 0.500
11 I 0.338 0.662 0.500
12 I 0.662 0.338 0.500

Properties
Its space group is C2/m. For the magnetization, the calculation gives 0.000 μB per atom. The value obtained for the electronic total energy is -2.50 eV per atom. Its energy relative to the elements, uncorrected is -36.5 kJ per mole of atoms.



(11)
Below is a relaxed TlHgTeI2 crystal, with properties calculated at the GGA-PBE level.

Lattice parameters (Å, degrees): 6.121 6.121 5.972 90.00 90.00 90.00
Fractional coordinates of all 5 atoms:
1 Tl 0.000 0.000 0.000
2 Hg 0.500 0.500 0.500
3 Te 0.000 0.000 0.500
4 I 0.000 0.500 0.000
5 I 0.500 0.000 0.000

Properties
Its space group is P4/mmm. For the magnetization, the calculation gives 0.253 μB per atom. The calculation puts the offset from the most stable computed form at 208 meV per atom. The value obtained for the electronic total energy is -1.62 eV per atom. Its energy relative to the elements, uncorrected is 15.6 kJ per mole of atoms.



(12)
Below is a relaxed Tl5HgTe2I crystal, with properties calculated at the GGA-PBE level.

Lattice parameters (Å, degrees): 11.374 11.374 13.633 90.00 90.00 156.24
Fractional coordinates of all 18 atoms:
1 Tl 0.009 0.991 0.500
2 Tl 0.122 0.878 0.286
3 Tl 0.176 0.824 0.624
4 Tl 0.246 0.754 0.945
5 Tl 0.398 0.602 0.389
6 Tl 0.602 0.398 0.889
7 Tl 0.754 0.246 0.445
8 Tl 0.824 0.176 0.124
9 Tl 0.878 0.122 0.786
10 Tl 0.991 0.009 0.000
11 Hg 0.329 0.671 0.621
12 Hg 0.671 0.329 0.121
13 Te 0.272 0.728 0.282
14 Te 0.394 0.606 0.956
15 Te 0.606 0.394 0.456
16 Te 0.728 0.272 0.782
17 I 0.041 0.959 0.745
18 I 0.959 0.041 0.245

Properties
Its space group is Cmc2_1. For the magnetization, the calculation gives 0.000 μB per atom. The value obtained for the electronic total energy is -2.53 eV per atom. Its energy relative to the elements, uncorrected is -29.6 kJ per mole of atoms.



(13)
Below is a relaxed VHgTe2I crystal, with properties calculated at the GGA-PBE level.

Lattice parameters (Å, degrees): 5.188 5.188 5.894 90.00 90.00 90.00
Fractional coordinates of all 5 atoms:
1 V 0.000 0.000 0.000
2 Hg 0.500 0.500 0.500
3 Te 0.000 0.500 0.000
4 Te 0.500 0.000 0.000
5 I 0.000 0.000 0.500

Properties
Its space group is P4/mmm. For the magnetization, the calculation gives 0.131 μB per atom. The calculation puts the offset from the most stable computed form at 0 meV per atom. The value obtained for the electronic total energy is -3.37 eV per atom. Its energy relative to the elements, uncorrected is 8.0 kJ per mole of atoms.